An optimized crystal structure of KP2OsCl, computed with PBE.

abc: 4.4312 4.4312 7.4303
angles: 90.00 90.00 90.00
Space group P4/mmm (No. 123)
Asymmetric unit:
K  0.0000  0.0000  0.0000
P  0.0000  0.5000  0.5000
Os  0.0000  0.0000  0.5000
Cl  0.5000  0.5000  0.0000

Calculated values
- formation energy without anion corrections (eV/atom) = -0.19
- energy above the most stable polymorph in this dataset (meV per atom) = 0
- total DFT energy (no corrections) (eV per atom) = -5.1891